(1)
# La5YTl2

A geometry-optimized La5YTl2 structure (PBE, Alexandria via LeMat-Bulk).

The value obtained for the density of states at the Fermi level is 28.8 states/eV per cell. The energy relative to the elements comes out at -0.110 eV/atom.

Structure (POSCAR):
```
La5YTl2
1.0
5.6813 0.0000 0.0000
-2.8406 4.9201 0.0000
0.0000 0.0000 20.5240
La Y Tl
10 2 4
direct
0.0000 0.0000 0.3396
0.0000 0.0000 0.1604
0.6667 0.3333 0.2500
0.0000 0.0000 0.8396
0.6667 0.3333 0.0624
0.3333 0.6667 0.7500
0.3333 0.6667 0.9376
0.3333 0.6667 0.5624
0.6667 0.3333 0.4376
0.0000 0.0000 0.6604
0.3333 0.6667 0.2500
0.6667 0.3333 0.7500
0.6667 0.3333 0.5974
0.3333 0.6667 0.0974
0.3333 0.6667 0.4026
0.6667 0.3333 0.9026
```

=====

(2)
# Pr4Hg2Sb

A geometry-optimized Pr4Hg2Sb structure (PBE, Alexandria via LeMat-Bulk).

The value obtained for the density of states at the Fermi level is 11.1 states/eV per cell. The formation energy (no corrections) comes out at -0.439 eV per atom.

Structure (POSCAR):
```
Pr4Hg2Sb
1.0
0.0791 5.0658 1.7874
-3.8082 1.7162 3.3787
3.8370 -0.2973 8.7470
Pr Hg Sb
4 2 1
direct
0.8752 0.8752 0.3745
0.1248 0.1248 0.6255
0.6233 0.6233 0.1302
0.3767 0.3767 0.8698
0.7591 0.7591 0.7227
0.2409 0.2409 0.2773
0.0000 0.0000 0.0000
```

=====

(3)
# Ca2Mg6ZnRu

A geometry-optimized Ca2Mg6ZnRu structure (PBE, Alexandria via LeMat-Bulk).

The value obtained for the density of states at the Fermi level is 3.8 states/eV per cell. The energy relative to the elements comes out at 0.051 eV/atom.

Structure (POSCAR):
```
Ca2Mg6ZnRu
1.0
7.1701 0.0023 0.0067
0.0030 7.1782 0.0012
3.5914 3.5910 5.0656
Ca Mg Zn Ru
2 6 1 1
direct
0.2498 0.7499 0.5001
0.7502 0.2501 0.4999
0.2533 0.7469 0.9999
0.7466 0.7467 0.0002
0.2533 0.2532 0.4936
0.7467 0.2531 0.0001
0.2534 0.2533 0.9998
0.7467 0.7468 0.5064
0.0000 0.0000 0.0000
0.5000 0.5000 0.0000
```

=====

(4)
# AcTbTm2S6

A geometry-optimized AcTbTm2S6 structure (PBE, Alexandria via LeMat-Bulk).

The value obtained for the density of states at the Fermi level is 0.0 states/eV per cell. The formation energy (no corrections) comes out at -2.079 eV per atom.

Structure (POSCAR):
```
AcTbTm2S6
1.0
7.0381 -0.0001 0.0001
3.5190 6.0953 0.0000
3.5187 2.0319 6.1398
Ac Tb Tm S
1 1 2 6
direct
0.7998 0.7998 0.6005
0.3145 0.3145 0.0564
0.5185 0.5185 0.4445
0.0118 0.0118 0.9646
0.6224 0.2328 0.2403
0.2328 0.9044 0.2404
0.9045 0.6224 0.2404
0.3663 0.7303 0.7427
0.7303 0.1607 0.7427
0.1607 0.3663 0.7427
```

=====

(5)
# TlSn2Hg

A geometry-optimized TlSn2Hg structure (PBE, Alexandria via LeMat-Bulk).

The value obtained for the density of states at the Fermi level is 2.8 states/eV per cell. The energy relative to the elements comes out at 0.107 eV/atom.

Structure (POSCAR):
```
TlSn2Hg
1.0
3.3155 0.0000 0.0000
1.6577 2.8713 0.0000
1.6577 0.9571 11.9046
Tl Hg Sn
1 1 2
direct
0.0000 0.0000 0.0000
0.5000 0.5000 0.5000
0.0897 0.0897 0.7310
0.9103 0.9103 0.2690
```

=====

(6)
# ScMnSiRu

A geometry-optimized ScMnSiRu structure (PBE, Alexandria via LeMat-Bulk).

The value obtained for the density of states at the Fermi level is 4.7 states/eV per cell. The formation energy (no corrections) comes out at -0.448 eV per atom.

Structure (POSCAR):
```
ScMnSiRu
1.0
-1.4414 -3.8535 -1.2102
1.1444 -3.5032 2.1931
-2.8890 -2.0617 2.4072
Sc Ru Si Mn
1 1 1 1
direct
0.0000 0.0000 0.0000
0.2500 0.2500 0.2500
0.5000 0.5000 0.5000
0.7500 0.7500 0.7500
```